Here is SnPd17 after structural relaxation from OQMD via LeMat-Bulk. Energies are from PBE-GGA.

Output
SG = P-3m1
total DFT energy (no corrections) = -5.13 eV per atom
calculated density = 7.63 Mg/m³

Cell: 5.5321 5.5321 31.6514 Å, 90.00 90.00 120.00°
Fractional coordinates of all 36 atoms:
1 Sn 0.3333 0.6667 0.2923
2 Sn 0.6667 0.3333 0.7077
3 Pd 0.0000 0.0000 0.0000
4 Pd 0.0000 0.0000 0.2175
5 Pd 0.0000 0.0000 0.7825
6 Pd 0.0000 0.5000 0.0000
7 Pd 0.0005 0.5002 0.2179
8 Pd 0.9995 0.4998 0.7821
9 Pd 0.1663 0.3327 0.7087
10 Pd 0.1663 0.8337 0.7087
11 Pd 0.1665 0.3330 0.9277
12 Pd 0.1669 0.3338 0.1449
13 Pd 0.1669 0.8331 0.1449
14 Pd 0.1665 0.8335 0.9277
15 Pd 0.3327 0.1663 0.2913
16 Pd 0.3330 0.1665 0.0723
17 Pd 0.3333 0.6667 0.0723
18 Pd 0.3333 0.6667 0.8554
19 Pd 0.3338 0.1669 0.8551
20 Pd 0.5000 0.0000 0.0000
21 Pd 0.4998 0.9995 0.2179
22 Pd 0.5002 0.0005 0.7821
23 Pd 0.5000 0.5000 0.0000
24 Pd 0.4998 0.5002 0.2179
25 Pd 0.5002 0.4998 0.7821
26 Pd 0.6662 0.8331 0.1449
27 Pd 0.6667 0.3333 0.1446
28 Pd 0.6667 0.3333 0.9277
29 Pd 0.6670 0.8335 0.9277
30 Pd 0.6673 0.8337 0.7087
31 Pd 0.8335 0.1665 0.0723
32 Pd 0.8331 0.1669 0.8551
33 Pd 0.8331 0.6662 0.8551
34 Pd 0.8335 0.6670 0.0723
35 Pd 0.8337 0.1663 0.2913
36 Pd 0.8337 0.6673 0.2913


Here is Co2Ge after structural relaxation from OQMD via LeMat-Bulk. Energies are from PBE-GGA.

Output
SG = P6_3/mmc
total DFT energy (no corrections) = -6.37 eV per atom
calculated density = 9.13 Mg/m³

Cell: 3.9969 3.9969 5.0075 Å, 90.00 90.00 120.00°
Fractional coordinates of all 6 atoms:
1 Co 0.0000 0.0000 0.0000
2 Co 0.0000 0.0000 0.5000
3 Co 0.3333 0.6667 0.2500
4 Co 0.6667 0.3333 0.7500
5 Ge 0.3333 0.6667 0.7500
6 Ge 0.6667 0.3333 0.2500


Here is NbSb2Ir after structural relaxation from OQMD via LeMat-Bulk. Energies are from PBE-GGA.

Output
SG = F-43m
total DFT energy (no corrections) = -6.39 eV per atom
calculated density = 10.97 Mg/m³

Cell: 4.8365 4.8365 4.8365 Å, 60.00 60.00 60.00°
Fractional coordinates of all 4 atoms:
1 Nb 0.0000 0.0000 0.0000
2 Sb 0.5000 0.5000 0.5000
3 Sb 0.7500 0.7500 0.7500
4 Ir 0.2500 0.2500 0.2500


Here is Li2MgCd after structural relaxation from OQMD via LeMat-Bulk. Energies are from PBE-GGA.

Output
SG = P6_3/mmc
total DFT energy (no corrections) = -1.65 eV per atom
calculated density = 3.02 Mg/m³

Cell: 4.8508 4.8508 8.1218 Å, 90.00 90.00 120.00°
Fractional coordinates of all 8 atoms:
1 Li 0.3333 0.6667 0.0852
2 Li 0.3333 0.6667 0.4148
3 Li 0.6667 0.3333 0.5852
4 Li 0.6667 0.3333 0.9148
5 Mg 0.0000 0.0000 0.2500
6 Mg 0.0000 0.0000 0.7500
7 Cd 0.3333 0.6667 0.7500
8 Cd 0.6667 0.3333 0.2500


Here is YTmBPb after structural relaxation from OQMD via LeMat-Bulk. Energies are from PBE-GGA.

Output
SG = P-6m2
total DFT energy (no corrections) = -5.56 eV per atom
calculated density = 8.16 Mg/m³

Cell: 3.6719 3.6719 16.5870 Å, 90.00 90.00 120.00°
Fractional coordinates of all 8 atoms:
1 Y 0.0000 0.0000 0.1611
2 Y 0.0000 0.0000 0.8389
3 Tm 0.3333 0.6667 0.3396
4 Tm 0.3333 0.6667 0.6604
5 B 0.6667 0.3333 0.2522
6 B 0.6667 0.3333 0.7478
7 Pb 0.0000 0.0000 0.5000
8 Pb 0.3333 0.6667 0.0000


Here is Lu4Zr2Sn3N3 after structural relaxation from OQMD via LeMat-Bulk. Energies are from PBE-GGA.

Output
SG = C2/c
total DFT energy (no corrections) = -7.20 eV per atom
calculated density = 9.56 Mg/m³

Cell: 5.8952 5.8952 15.1527 Å, 101.15 101.15 60.09°
Fractional coordinates of all 24 atoms:
1 Lu 0.0304 0.1940 0.0861
2 Lu 0.1363 0.3049 0.4139
3 Lu 0.1940 0.0304 0.5861
4 Lu 0.3049 0.1363 0.9139
5 Lu 0.6951 0.8637 0.0861
6 Lu 0.8060 0.9696 0.4139
7 Lu 0.8637 0.6951 0.5861
8 Lu 0.9696 0.8060 0.9139
9 Zr 0.3603 0.5267 0.0806
10 Zr 0.4733 0.6397 0.4194
11 Zr 0.5267 0.3603 0.5806
12 Zr 0.6397 0.4733 0.9194
13 Sn 0.1001 0.8999 0.2500
14 Sn 0.2683 0.4160 0.7502
15 Sn 0.4160 0.2683 0.2502
16 Sn 0.5840 0.7317 0.7498
17 Sn 0.7317 0.5840 0.2498
18 Sn 0.8999 0.1001 0.7500
19 N 0.0000 0.5000 0.0000
20 N 0.1643 0.6681 0.5000
21 N 0.3319 0.8357 0.0000
22 N 0.5000 0.0000 0.5000
23 N 0.6681 0.1643 0.0000
24 N 0.8357 0.3319 0.5000


- Among the records above, which one has the highest total DFT energy (no corrections)?
  Li2MgCd